Crystalline CoAgMoF6 at its relaxed geometry, computed with GGA+U.

Calculated total energy   -0.1831 Ha/atom

a = 5.6081 Å, b = 5.6081 Å, c = 10.2203 Å
α = 90.00°, β = 90.00°, γ = 120.00°
With the nearest neighbours (Å) after each atom.
Atoms (fractional coordinates):
Co1 0.3333 0.6667 0.2500  6 F 2.08
Co2 0.6667 0.3333 0.7500  6 F 2.08
Ag1 0.0000 0.0000 0.0000  6 F 2.51
Ag2 0.0000 0.0000 0.5000  6 F 2.51
Mo1 0.3333 0.6667 0.7500  6 F 2.11
Mo2 0.6667 0.3333 0.2500  6 F 2.11
F1 0.0045 0.3628 0.1451  1 Co 2.08, 1 Mo 2.11
F2 0.0045 0.6417 0.3549  1 Co 2.08, 1 Mo 2.11
F3 0.3583 0.3628 0.3549  1 Co 2.08, 1 Mo 2.11
F4 0.3583 0.9955 0.1451  1 Co 2.08, 1 Mo 2.11
F5 0.3628 0.0045 0.6451  1 Co 2.08, 1 Mo 2.11
F6 0.3628 0.3583 0.8549  1 Co 2.08, 1 Mo 2.11
F7 0.6372 0.6417 0.1451  1 Co 2.08, 1 Mo 2.11
F8 0.6372 0.9955 0.3549  1 Co 2.08, 1 Mo 2.11
F9 0.6417 0.0045 0.8549  1 Co 2.08, 1 Mo 2.11
F10 0.6417 0.6372 0.6451  1 Co 2.08, 1 Mo 2.11
F11 0.9955 0.3583 0.6451  1 Co 2.08, 1 Mo 2.11
F12 0.9955 0.6372 0.8549  1 Co 2.08, 1 Mo 2.11